No. 1
Material: LaSiPb2
Method: DFT, PBE
State: optimized geometry

Space group: No. 139
Calculated density, Mg/m³: 8.73
Total moment, μB per formula unit: 0.00
VASP energy, eV/atom: -4.652
Fermi-level density of states, states/eV per atom: 0.7178
Formation energy (no corrections), eV per atom: -0.211

Lattice parameters (Å, degrees): 6.321 6.321 6.321 138.29 138.29 60.45
Atoms (fractional coordinates):
1 La 0.000 0.000 0.000
2 Si 0.500 0.500 0.000
3 Pb 0.250 0.750 0.500
4 Pb 0.750 0.250 0.500

---

No. 2
Material: LaSiPb2
Method: DFT, PBE
State: optimized geometry

Space group: No. 122
Calculated density, Mg/m³: 8.20
Total moment, μB per formula unit: 0.00
VASP energy, eV/atom: -4.562
Fermi-level density of states, states/eV per atom: 0.8053
Formation energy (no corrections), eV per atom: -0.120

Lattice parameters (Å, degrees): 6.889 6.889 6.889 101.86 101.86 126.07
Atoms (fractional coordinates):
1 La 0.000 0.000 0.000
2 La 0.750 0.250 0.500
3 Si 0.250 0.750 0.500
4 Si 0.500 0.500 0.000
5 Pb 0.180 0.625 0.055
6 Pb 0.375 0.430 0.555
7 Pb 0.570 0.125 0.945
8 Pb 0.875 0.820 0.445